# 1
DFT (PBE) results for Pu3TlSe6 after structural relaxation.

## Properties
Symmetry = Cmc2_1
Magnetization = 9.4 Bohr magnetons per cell
Formation energy from raw total energies = -1103 meV/atom
Density of states at the Fermi level = 57.90 states/eV/cell

```
Pu3TlSe6
1.0
5.542 -6.903 0.000
5.542 6.903 0.000
0.000 0.000 7.247
Pu Tl Se
6 2 12
direct
0.098 0.902 0.500
0.215 0.418 0.409
0.418 0.215 0.909
0.582 0.785 0.409
0.785 0.582 0.909
0.902 0.098 0.000
0.313 0.687 0.891
0.687 0.313 0.391
0.039 0.588 0.657
0.130 0.196 0.709
0.196 0.130 0.209
0.270 0.730 0.285
0.412 0.961 0.657
0.488 0.512 0.650
0.512 0.488 0.150
0.588 0.039 0.157
0.730 0.270 0.785
0.804 0.870 0.709
0.870 0.804 0.209
0.961 0.412 0.157
```

***

# 2
DFT (PBE) results for PuTl2Se after structural relaxation.

## Properties
Symmetry = R-3m
Magnetization = 20.6 Bohr magnetons per cell
Formation energy from raw total energies = 92 meV/atom
Density of states at the Fermi level = 32.96 states/eV/cell

```
PuTl2Se
1.0
3.772 0.000 0.000
-1.886 3.267 0.000
0.000 0.000 31.323
Pu Tl Se
3 6 3
direct
0.000 0.000 0.000
0.333 0.667 0.667
0.667 0.333 0.333
0.000 0.000 0.103
0.000 0.000 0.897
0.333 0.667 0.563
0.333 0.667 0.770
0.667 0.333 0.230
0.667 0.333 0.437
0.000 0.000 0.500
0.333 0.667 0.167
0.667 0.333 0.833
```

***

# 3
DFT (PBE) results for Pu4Tl3Se8 after structural relaxation.

## Properties
Symmetry = C2/m
Magnetization = 10.5 Bohr magnetons per cell
Formation energy from raw total energies = -1002 meV/atom
Density of states at the Fermi level = 53.45 states/eV/cell

```
Pu4Tl3Se8
1.0
6.060 -6.096 0.000
6.060 6.096 0.000
-5.832 0.000 6.181
Pu Tl Se
4 3 8
direct
0.000 0.000 0.000
0.000 0.000 0.500
0.000 0.500 0.000
0.500 0.000 0.000
0.000 0.500 0.500
0.500 0.000 0.500
0.500 0.500 0.500
0.213 0.213 0.460
0.229 0.229 0.975
0.235 0.765 0.000
0.236 0.764 0.500
0.764 0.236 0.500
0.765 0.235 0.000
0.771 0.771 0.025
0.787 0.787 0.540
```

***

# 4
DFT (PBE) results for PuTl2Se4 after structural relaxation.

## Properties
Symmetry = Cmcm
Magnetization = 8.5 Bohr magnetons per cell
Formation energy from raw total energies = -640 meV/atom
Density of states at the Fermi level = 19.70 states/eV/cell

```
PuTl2Se4
1.0
2.076 -7.430 0.000
2.076 7.430 0.000
0.000 0.000 13.549
Pu Tl Se
2 4 8
direct
0.072 0.928 0.750
0.928 0.072 0.250
0.364 0.636 0.555
0.364 0.636 0.945
0.636 0.364 0.055
0.636 0.364 0.445
0.000 0.000 0.000
0.000 0.000 0.500
0.310 0.690 0.160
0.310 0.690 0.340
0.442 0.558 0.750
0.558 0.442 0.250
0.690 0.310 0.660
0.690 0.310 0.840
```

***

# 5
DFT (PBE) results for Pu2TlSe4 after structural relaxation.

## Properties
Symmetry = I-42d
Magnetization = 18.0 Bohr magnetons per cell
Formation energy from raw total energies = -1100 meV/atom
Polymorph energy (0 for the lowest one) = 42 meV/atom
Density of states at the Fermi level = 33.66 states/eV/cell

```
Pu2TlSe4
1.0
-4.453 4.453 4.492
4.453 -4.453 4.492
4.453 4.453 -4.492
Pu Tl Se
4 2 8
direct
0.008 0.125 0.383
0.375 0.992 0.117
0.742 0.625 0.617
0.875 0.258 0.883
0.250 0.750 0.500
0.500 0.500 0.000
0.094 0.509 0.743
0.101 0.016 0.757
0.259 0.344 0.243
0.491 0.234 0.585
0.649 0.906 0.415
0.656 0.899 0.915
0.766 0.351 0.257
0.984 0.741 0.085
```

***

# 6
DFT (PBE) results for Pu4TlSe6 after structural relaxation.

## Properties
Symmetry = Cmcm
Magnetization = 1.0 Bohr magnetons per cell
Formation energy from raw total energies = -1267 meV/atom
Density of states at the Fermi level = 99.61 states/eV/cell

```
Pu4TlSe6
1.0
2.094 -6.950 0.000
2.094 6.950 0.000
0.000 0.000 21.776
Pu Tl Se
8 2 12
direct
0.094 0.906 0.630
0.094 0.906 0.870
0.364 0.636 0.542
0.364 0.636 0.958
0.636 0.364 0.042
0.636 0.364 0.458
0.906 0.094 0.130
0.906 0.094 0.370
0.166 0.834 0.250
0.834 0.166 0.750
0.000 0.000 0.000
0.000 0.000 0.500
0.162 0.838 0.750
0.271 0.729 0.080
0.271 0.729 0.420
0.463 0.537 0.656
0.463 0.537 0.844
0.537 0.463 0.156
0.537 0.463 0.344
0.729 0.271 0.580
0.729 0.271 0.920
0.838 0.162 0.250
```

***

# 7
DFT (PBE) results for Pu3Tl4Se8 after structural relaxation.

## Properties
Symmetry = R-3m
Magnetization = 12.6 Bohr magnetons per cell
Formation energy from raw total energies = -889 meV/atom
Polymorph energy (0 for the lowest one) = 0 meV/atom
Density of states at the Fermi level = 31.29 states/eV/cell

```
Pu3Tl4Se8
1.0
4.252 2.455 8.104
-4.252 2.455 8.104
0.000 -4.910 8.104
Pu Tl Se
3 4 8
direct
0.000 0.500 0.500
0.500 0.000 0.500
0.500 0.500 0.000
0.000 0.000 0.000
0.142 0.142 0.142
0.500 0.500 0.500
0.858 0.858 0.858
0.246 0.246 0.705
0.246 0.705 0.246
0.273 0.273 0.273
0.295 0.754 0.754
0.705 0.246 0.246
0.727 0.727 0.727
0.754 0.295 0.754
0.754 0.754 0.295
```

***

# 8
DFT (PBE) results for Pu2Tl4Se5 after structural relaxation.

## Properties
Symmetry = R-3m
Magnetization = 10.8 Bohr magnetons per cell
Formation energy from raw total energies = -749 meV/atom
Density of states at the Fermi level = 21.79 states/eV/cell

```
Pu2Tl4Se5
1.0
2.115 1.221 22.998
-2.115 1.221 22.998
0.000 -2.443 22.998
Pu Tl Se
2 4 5
direct
0.141 0.141 0.141
0.859 0.859 0.859
0.313 0.313 0.313
0.418 0.418 0.418
0.582 0.582 0.582
0.687 0.687 0.687
0.214 0.214 0.214
0.376 0.376 0.376
0.500 0.500 0.500
0.624 0.624 0.624
0.786 0.786 0.786
```

***

# 9
DFT (PBE) results for Pu2TlSe4 after structural relaxation.

## Properties
Symmetry = Cmcm
Magnetization = 18.0 Bohr magnetons per cell
Formation energy from raw total energies = -1143 meV/atom
Polymorph energy (0 for the lowest one) = 0 meV/atom
Density of states at the Fermi level = 39.09 states/eV/cell

```
Pu2TlSe4
1.0
2.095 -6.960 0.000
2.095 6.960 0.000
0.000 0.000 14.131
Pu Tl Se
4 2 8
direct
0.135 0.865 0.563
0.135 0.865 0.937
0.865 0.135 0.063
0.865 0.135 0.437
0.403 0.597 0.750
0.597 0.403 0.250
0.074 0.926 0.750
0.238 0.762 0.110
0.238 0.762 0.390
0.500 0.500 0.000
0.500 0.500 0.500
0.762 0.238 0.610
0.762 0.238 0.890
0.926 0.074 0.250
```

***

# 10
DFT (PBE) results for TmPuTl2Se4 after structural relaxation.

## Properties
Symmetry = P2/m
Magnetization = 5.0 Bohr magnetons per cell
Formation energy from raw total energies = -1228 meV/atom
Density of states at the Fermi level = 11.94 states/eV/cell

```
TmPuTl2Se4
1.0
7.276 0.000 0.000
0.000 4.191 0.000
-2.417 0.000 7.735
Tm Pu Tl Se
1 1 2 4
direct
0.000 0.000 0.000
0.500 0.500 0.000
0.000 0.500 0.500
0.500 0.000 0.500
0.228 0.500 0.203
0.260 0.000 0.797
0.740 0.000 0.203
0.772 0.500 0.797
```

***

# 11
DFT (PBE) results for Pu2UTl2Se6 after structural relaxation.

## Properties
Symmetry = C2/m
Magnetization = 12.0 Bohr magnetons per cell
Formation energy from raw total energies = -1132 meV/atom
Density of states at the Fermi level = 28.27 states/eV/cell

```
Pu2UTl2Se6
1.0
3.638 -6.286 0.000
3.638 6.286 0.000
-2.463 0.000 7.754
Pu U Tl Se
2 1 2 6
direct
0.167 0.833 0.000
0.833 0.167 0.000
0.500 0.500 0.000
0.331 0.669 0.500
0.669 0.331 0.500
0.108 0.433 0.800
0.245 0.245 0.202
0.433 0.108 0.800
0.567 0.892 0.200
0.755 0.755 0.798
0.892 0.567 0.200
```

***

# 12
DFT (PBE) results for PuUTl2Se4 after structural relaxation.

## Properties
Symmetry = P2/m
Magnetization = 3.0 Bohr magnetons per cell
Formation energy from raw total energies = -979 meV/atom
Density of states at the Fermi level = 20.27 states/eV/cell

```
PuUTl2Se4
1.0
7.365 0.000 0.000
0.000 4.234 0.000
-2.462 0.000 7.758
Pu U Tl Se
1 1 2 4
direct
0.000 0.000 0.000
0.500 0.500 0.000
0.000 0.500 0.500
0.500 0.000 0.500
0.241 0.500 0.204
0.272 0.000 0.795
0.728 0.000 0.205
0.759 0.500 0.796
```